MnCr4Tc: relaxed, PBE.

Cell and atoms, written as POSCAR:
```
MnCr4Tc
1.0
4.185 -2.027 0.883
0.346 -4.715 0.221
2.251 -2.371 -3.422
Tc Mn Cr
1 1 4
Cartesian
0.000 0.000 0.000
5.086 -6.834 -1.739
2.546 -3.421 -0.870
3.667 -4.602 -2.575
2.719 -5.770 -0.760
4.631 -4.431 -0.430
```

**Space-group type**: F-43m (216)
**Formation energy from the elements**: 64 kJ/mol of formula units
**VASP energy**: -9.56 eV/atom
**Total moment**: 3.25 μB/f.u.

Na3Pa2VN6: relaxed, PBE.

Cell and atoms, written as POSCAR:
```
Na3Pa2VN6
1.0
-0.219 3.797 -4.426
-3.233 -4.856 -0.142
-3.143 3.100 4.051
Pa N Na V
2 6 3 1
Cartesian
-2.229 -1.975 -1.569
-1.223 0.915 -3.000
-3.169 -0.220 -2.675
-5.733 0.360 0.367
-0.862 1.681 -0.884
-4.806 3.022 -0.951
-3.426 2.261 2.158
-1.789 -0.981 0.433
-2.252 4.023 -1.745
-4.343 -1.982 1.228
-3.298 1.020 -0.259
0.000 0.000 0.000
```

**Space-group type**: C2/m (12)
**VASP energy**: -7.77 eV/atom
**Energy relative to the elements, uncorrected**: -0.94 eV/atom
**Total moment**: 0.00 μB/f.u.

Ce2AgBi3: relaxed, PBE.

Cell and atoms, written as POSCAR:
```
Ce2AgBi3
1.0
-2.029 2.295 2.757
-0.391 -4.312 3.302
8.659 3.159 0.662
Bi Ag Ce
3 1 2
Cartesian
3.748 0.424 5.486
-0.195 -2.156 1.651
2.491 0.719 1.234
0.000 0.000 0.000
0.962 -0.381 4.106
5.277 1.524 2.615
```

**Space-group type**: Immm (71)
**Formation energy from the elements**: -195 kJ/mol of formula units
**VASP energy**: -4.73 eV/atom
**Total moment**: 1.40 μB/f.u.

Q: Which formula does entry 3 have?
A: Ce2AgBi3